[1]
Here is a geometry-optimized BaLi2TlH structure from Alexandria via LeMat-Bulk. Energies are from GGA-PBE.

Geometry as POSCAR:
```
BaLi2TlH
1.0
4.896 0.000 0.000
0.000 4.896 0.000
0.000 0.000 5.273
Li H Ba Tl
2 1 1 1
direct
0.000 0.500 0.000
0.500 0.000 0.000
0.000 0.000 0.000
0.000 0.000 0.500
0.500 0.500 0.500
```

Output
Its final energy is -12.12 eV for the cell shown. As for the calculated density: 4.685 Mg/m³.



[2]
Here is a geometry-optimized Pm4Ir2I5 structure from Alexandria via LeMat-Bulk. Energies are from GGA-PBE.

Geometry as POSCAR:
```
Pm4Ir2I5
1.0
-1.708 2.918 -2.543
-3.580 -6.242 -4.758
-9.066 -0.927 8.544
Ir I Pm
2 5 4
direct
0.448 0.501 0.896
0.552 0.499 0.104
0.500 0.000 0.000
0.202 0.321 0.404
0.846 0.162 0.691
0.798 0.679 0.596
0.154 0.838 0.309
0.658 0.560 0.316
0.030 0.702 0.060
0.342 0.440 0.684
0.970 0.298 0.940
```

Output
The uncorrected formation energy is -0.963 eV per atom. Its final energy is -55.07 eV for the cell shown. As for the calculated density: 5.911 Mg/m³.



[3]
Here is a geometry-optimized CsTl2Sb structure from Alexandria via LeMat-Bulk. Energies are from GGA-PBE.

Geometry as POSCAR:
```
CsTl2Sb
1.0
4.789 -1.556 3.093
-0.360 -4.295 4.042
2.592 -5.217 -0.993
Cs Sb Tl
1 1 2
direct
0.500 0.500 0.500
0.000 0.000 0.000
0.250 0.250 0.250
0.750 0.750 0.750
```

Output
The uncorrected formation energy is -0.123 eV per atom. Its final energy is -10.20 eV for the cell shown. As for the calculated density: 7.549 Mg/m³. The value obtained for the energy above the lowest structure with this stoichiometry is 105 meV per atom.



Which value of calculated density does entry 2 give?
5.911 Mg/m³